Run w
DFT (PBE) results for a relaxed structure of PaPdAu.

Cell lengths 4.7437, 4.7437, 3.1052 Å; angles 90.00, 90.00, 120.00 degrees
With the nearest neighbours (Å) after each atom.
Fractional coordinates of all 3 atoms:
Pa  0.6667  0.3333  0.3333  2 Pa 3.11, 6 Pd 3.15, 6 Au 3.15
Au  0.3333  0.6667  0.8329  3 Pd 2.74
Pd  0.0000  0.0000  0.8338  3 Au 2.74

Summary:
**Total moment**: 0.7 μB/cell
**V**: 20.17 A^3/atom
**N(E_F)**: 4.26 states/eV per cell



Run x
DFT (PBE) results for a relaxed structure of PaPdAu.

Cell lengths 5.3236, 4.8928, 10.4545 Å; angles 117.92, 90.00, 90.00 degrees
With the nearest neighbours (Å) after each atom.
Fractional coordinates of all 12 atoms:
Pa  0.6889  0.2474  0.4973  5 Pd 2.96-3.12, 5 Au 2.99-3.18, 2 Pa 3.17
Pa  0.1889  0.7526  0.0027  5 Pd 2.96-3.12, 5 Au 2.99-3.18, 2 Pa 3.17
Pa  0.3111  0.7526  0.5027  5 Pd 2.96-3.12, 5 Au 2.99-3.18, 2 Pa 3.17
Pa  0.8111  0.2474  0.9973  5 Pd 2.96-3.12, 5 Au 2.99-3.18, 2 Pa 3.17
Pd  0.3287  0.0877  0.8379  5 Pa 2.96-3.12, 5 Au 3.00-3.09, 2 Pd 3.12
Pd  0.1713  0.0877  0.3379  5 Pa 2.96-3.12, 5 Au 3.00-3.09, 2 Pd 3.12
Pd  0.6713  0.9123  0.1621  5 Pa 2.96-3.12, 5 Au 3.00-3.09, 2 Pd 3.12
Pd  0.8287  0.9123  0.6621  5 Pa 2.96-3.12, 5 Au 3.00-3.09, 2 Pd 3.12
Au  0.6742  0.5779  0.8277  5 Pa 2.99-3.18, 5 Pd 3.00-3.09, 2 Au 3.02
Au  0.8258  0.5779  0.3277  5 Pa 2.99-3.18, 5 Pd 3.00-3.09, 2 Au 3.02
Au  0.3258  0.4221  0.1723  5 Pa 2.99-3.18, 5 Pd 3.00-3.09, 2 Au 3.02
Au  0.1742  0.4221  0.6723  5 Pa 2.99-3.18, 5 Pd 3.00-3.09, 2 Au 3.02

Summary:
**Total moment**: 0.0 μB/cell
**V**: 20.05 A^3/atom
**N(E_F)**: 12.40 states/eV per cell



Which structure above is the least stable? It is run x.